Entry from Alexandria: TbPrNi after structural relaxation (PBE). Values from VASP.

```
&SYSTEM
  ibrav = 0, nat = 3, ntyp = 3
/
ATOMIC_SPECIES
Tb 158.93 Tb.upf
Pr 140.91 Pr.upf
Ni 58.69 Ni.upf
CELL_PARAMETERS angstrom
3.924 0.000 0.000
-1.962 3.399 0.000
0.000 0.000 6.396
ATOMIC_POSITIONS angstrom
Tb 0.000 0.000 0.000
Pr 1.962 1.133 3.225
Ni 0.000 2.266 4.889
```

Output
The formation energy comes out at -0.110 eV per atom. For the electronic total energy, the calculation gives -5.174 eV/atom. The excess energy over the best structure of this formula in the dataset is 11.8 kJ/mol of atoms.